P | Entry from Alexandria: PuMg2In3 after structural relaxation (PBE).

Lattice parameters (Å, degrees): 3.653 3.653 10.928 90.00 90.00 90.00
Fractional positions:
1 Pu 0.000 0.000 0.000
2 Mg 0.000 0.000 0.343
3 Mg 0.000 0.000 0.657
4 In 0.500 0.500 0.189
5 In 0.500 0.500 0.500
6 In 0.500 0.500 0.811

Calculated values
N(E_F)   7.8 states/eV/f.u.
Spin magnetization   6.16 μB per cell
Calculated volume   24.31 Å³/atom
Space-group type   P4/mmm (123)

---

Q | Entry from Alexandria: PuMg2In3 after structural relaxation (PBE).

Lattice parameters (Å, degrees): 5.092 5.092 13.230 90.00 90.00 120.00
Fractional positions:
1 Pu 0.000 0.000 0.250
2 Pu 0.000 0.000 0.750
3 Mg 0.333 0.667 0.117
4 Mg 0.333 0.667 0.383
5 Mg 0.667 0.333 0.617
6 Mg 0.667 0.333 0.883
7 In 0.000 0.000 0.000
8 In 0.000 0.000 0.500
9 In 0.333 0.667 0.634
10 In 0.333 0.667 0.866
11 In 0.667 0.333 0.134
12 In 0.667 0.333 0.366

Calculated values
N(E_F)   10.7 states/eV/f.u.
Spin magnetization   11.31 μB per cell
Calculated volume   24.76 Å³/atom
Space-group type   P6_3/mmc (194)

---

Relative energies, in meV/atom, with the most stable structure set to zero: P 0; Q 9.

---

P | Entry from Alexandria: RbMg2In8 after structural relaxation (PBE).

Lattice parameters (Å, degrees): 6.047 6.047 11.290 90.00 90.00 90.00
Fractional positions:
1 Rb 0.000 0.000 0.000
2 Mg 0.000 0.500 0.500
3 Mg 0.500 0.000 0.500
4 In 0.251 0.251 0.296
5 In 0.251 0.251 0.704
6 In 0.251 0.749 0.296
7 In 0.251 0.749 0.704
8 In 0.749 0.251 0.296
9 In 0.749 0.251 0.704
10 In 0.749 0.749 0.296
11 In 0.749 0.749 0.704

Calculated values
N(E_F)   8.5 states/eV/f.u.
Spin magnetization   0.00 μB per cell
Calculated volume   37.53 Å³/atom
Space-group type   P4/mmm (123)

---

Q | Entry from Alexandria: RbMg2In8 after structural relaxation (PBE).

Lattice parameters (Å, degrees): 5.521 5.521 11.958 90.00 90.00 105.81
Fractional positions:
1 Rb 0.000 0.000 0.000
2 Mg 0.000 0.000 0.362
3 Mg 0.000 0.000 0.638
4 In 0.000 0.500 0.225
5 In 0.000 0.500 0.500
6 In 0.000 0.500 0.775
7 In 0.500 0.000 0.225
8 In 0.500 0.000 0.500
9 In 0.500 0.000 0.775
10 In 0.500 0.500 0.362
11 In 0.500 0.500 0.638

Calculated values
N(E_F)   3.0 states/eV/f.u.
Spin magnetization   0.00 μB per cell
Calculated volume   31.88 Å³/atom
Space-group type   Cmmm (65)

---

Relative energies, in meV/atom, with the most stable structure set to zero: P 146; Q 0.